1.
VASP calculation (GGA-PBEsol) on an optimized crystal structure of InFeI3. Values from VASP.

Properties
Total energy in eV per cell: -17.43
SG: Pm-3m, No. 221
Energy relative to the elements, uncorrected in eV per formula unit: -0.19

```
&SYSTEM
  ibrav = 0, nat = 5, ntyp = 3
/
ATOMIC_SPECIES
In 114.82 In.upf
Fe 55.84 Fe.upf
I 126.90 I.upf
CELL_PARAMETERS angstrom
5.409 0.000 0.000
0.000 5.409 0.000
0.000 0.000 5.409
ATOMIC_POSITIONS crystal
In 0.000 0.000 0.000
Fe 0.500 0.500 0.500
I 0.000 0.500 0.500
I 0.500 0.000 0.500
I 0.500 0.500 0.000
```

2.
VASP calculation (GGA-PBEsol) on an optimized crystal structure of MgScTa2. Values from VASP.

Properties
Total energy in eV per cell: -32.49
Formation enthalpy at 0 K in meV per atom: 234
SG: Pm, No. 6

```
&SYSTEM
  ibrav = 0, nat = 4, ntyp = 3
/
ATOMIC_SPECIES
Mg 24.30 Mg.upf
Sc 44.96 Sc.upf
Ta 180.95 Ta.upf
CELL_PARAMETERS angstrom
2.869 0.000 0.000
0.000 4.678 0.000
-1.256 0.000 5.790
ATOMIC_POSITIONS crystal
Mg 0.000 0.000 0.000
Sc 0.687 0.500 0.277
Ta 0.272 0.500 0.729
Ta 0.466 0.000 0.526
```

3.
VASP calculation (GGA-PBEsol) on an optimized crystal structure of SbMoBr2. Values from VASP.

Properties
Total energy in eV per cell: -17.38
SG: F-43m, No. 216
Energy relative to the elements, uncorrected in eV per formula unit: 2.68

```
&SYSTEM
  ibrav = 0, nat = 4, ntyp = 3
/
ATOMIC_SPECIES
Sb 121.76 Sb.upf
Mo 95.94 Mo.upf
Br 79.90 Br.upf
CELL_PARAMETERS angstrom
0.000 3.497 3.497
3.497 0.000 3.497
3.497 3.497 0.000
ATOMIC_POSITIONS crystal
Sb 0.000 0.000 0.000
Mo 0.750 0.750 0.750
Br 0.250 0.250 0.250
Br 0.500 0.500 0.500
```

4.
VASP calculation (GGA-PBEsol) on an optimized crystal structure of ScTaZn2Tc. Values from VASP.

Properties
Total energy in eV per cell: -24.03
Formation enthalpy at 0 K in meV per atom: 1911
SG: P4/mmm, No. 123

```
&SYSTEM
  ibrav = 0, nat = 5, ntyp = 4
/
ATOMIC_SPECIES
Sc 44.96 Sc.upf
Ta 180.95 Ta.upf
Zn 65.41 Zn.upf
Tc 98.00 Tc.upf
CELL_PARAMETERS angstrom
4.666 0.000 0.000
0.000 4.666 0.000
0.000 0.000 4.662
ATOMIC_POSITIONS crystal
Sc 0.000 0.000 0.000
Ta 0.000 0.000 0.500
Zn 0.000 0.500 0.000
Zn 0.500 0.000 0.000
Tc 0.500 0.500 0.500
```

5.
VASP calculation (GGA-PBEsol) on an optimized crystal structure of Be4CdAg. Values from VASP.

Properties
Total energy in eV per cell: -20.06
Formation enthalpy at 0 K in meV per atom: 76
SG: F-43m, No. 216

```
&SYSTEM
  ibrav = 0, nat = 6, ntyp = 3
/
ATOMIC_SPECIES
Be 9.01 Be.upf
Cd 112.41 Cd.upf
Ag 107.87 Ag.upf
CELL_PARAMETERS angstrom
0.000 3.222 3.222
3.222 0.000 3.222
3.222 3.222 0.000
ATOMIC_POSITIONS crystal
Be 0.124 0.124 0.124
Be 0.124 0.124 0.627
Be 0.124 0.627 0.124
Be 0.627 0.124 0.124
Cd 0.500 0.500 0.500
Ag 0.750 0.750 0.750
```

6.
VASP calculation (GGA-PBEsol) on an optimized crystal structure of Si2BAs. Values from VASP.

Properties
Total energy in eV per cell: -47.77
SG: I-42d, No. 122
Energy relative to the elements, uncorrected in eV per formula unit: -0.27

```
&SYSTEM
  ibrav = 0, nat = 8, ntyp = 3
/
ATOMIC_SPECIES
Si 28.09 Si.upf
B 10.81 B.upf
As 74.92 As.upf
CELL_PARAMETERS angstrom
-2.539 2.539 5.014
2.539 -2.539 5.014
2.539 2.539 -5.014
ATOMIC_POSITIONS crystal
Si 0.061 0.625 0.936
Si 0.375 0.311 0.436
Si 0.689 0.125 0.064
Si 0.875 0.939 0.564
B 0.000 0.000 0.000
B 0.750 0.250 0.500
As 0.250 0.750 0.500
As 0.500 0.500 0.000
```

7.
VASP calculation (GGA-PBEsol) on an optimized crystal structure of CsAgBr2. Values from VASP.

Properties
Total energy in eV per cell: -24.41
SG: P4/nmm, No. 129
Energy relative to the elements, uncorrected in eV per formula unit: -4.21

```
&SYSTEM
  ibrav = 0, nat = 8, ntyp = 3
/
ATOMIC_SPECIES
Cs 132.91 Cs.upf
Ag 107.87 Ag.upf
Br 79.90 Br.upf
CELL_PARAMETERS angstrom
5.185 0.000 0.000
0.000 5.185 0.000
0.000 0.000 10.095
ATOMIC_POSITIONS crystal
Cs 0.250 0.250 0.210
Cs 0.750 0.750 0.790
Ag 0.250 0.250 0.602
Ag 0.750 0.750 0.398
Br 0.250 0.250 0.858
Br 0.250 0.750 0.500
Br 0.750 0.250 0.500
Br 0.750 0.750 0.142
```

8.
VASP calculation (GGA-PBEsol) on an optimized crystal structure of SrYMg4. Values from VASP.

Properties
Total energy in eV per cell: -15.92
Formation enthalpy at 0 K in meV per atom: -66
SG: F-43m, No. 216

```
&SYSTEM
  ibrav = 0, nat = 6, ntyp = 3
/
ATOMIC_SPECIES
Sr 87.62 Sr.upf
Y 88.91 Y.upf
Mg 24.30 Mg.upf
CELL_PARAMETERS angstrom
0.000 4.356 4.356
4.356 0.000 4.356
4.356 4.356 0.000
ATOMIC_POSITIONS crystal
Sr 0.000 0.000 0.000
Y 0.250 0.250 0.250
Mg 0.128 0.624 0.624
Mg 0.624 0.128 0.624
Mg 0.624 0.624 0.128
Mg 0.624 0.624 0.624
```